Entry 1:
# GGA-PBE LiCu3I4, relaxed
data_LiCu3I4
_cell_length_a 6.095
_cell_length_b 6.095
_cell_length_c 6.095
_cell_angle_alpha 90.00
_cell_angle_beta 90.00
_cell_angle_gamma 90.00
_symmetry_space_group_name_H-M 'P 1'
_symmetry_Int_Tables_number 1
loop_
_symmetry_equiv_pos_as_xyz
'x,y,z'
loop_
_atom_site_label
_atom_site_type_symbol
_atom_site_fract_x
_atom_site_fract_y
_atom_site_fract_z
Li1 Li 0.000 0.000 0.000
Cu1 Cu 0.000 0.000 0.500
Cu2 Cu 0.000 0.500 0.000
Cu3 Cu 0.500 0.000 0.000
I1 I 0.256 0.256 0.256
I2 I 0.256 0.744 0.744
I3 I 0.744 0.256 0.744
I4 I 0.744 0.744 0.256
# **Formation energy without anion corrections**: -0.390 eV/atom

=====

Entry 2:
# GGA-PBE Te2IrSI, relaxed
data_Te2IrSI
_cell_length_a 5.191
_cell_length_b 5.191
_cell_length_c 5.441
_cell_angle_alpha 90.00
_cell_angle_beta 90.00
_cell_angle_gamma 90.00
_symmetry_space_group_name_H-M 'P 1'
_symmetry_Int_Tables_number 1
loop_
_symmetry_equiv_pos_as_xyz
'x,y,z'
loop_
_atom_site_label
_atom_site_type_symbol
_atom_site_fract_x
_atom_site_fract_y
_atom_site_fract_z
Te1 Te 0.000 0.500 0.000
Te2 Te 0.500 0.000 0.000
Ir1 Ir 0.000 0.000 0.000
S1 S 0.500 0.500 0.500
I1 I 0.000 0.000 0.500
# **Formation energy without anion corrections**: 0.755 eV/atom

=====

Entry 3:
# GGA-PBE TaInAg, relaxed
data_TaInAg
_cell_length_a 4.618
_cell_length_b 4.618
_cell_length_c 4.618
_cell_angle_alpha 60.00
_cell_angle_beta 60.00
_cell_angle_gamma 60.00
_symmetry_space_group_name_H-M 'P 1'
_symmetry_Int_Tables_number 1
loop_
_symmetry_equiv_pos_as_xyz
'x,y,z'
loop_
_atom_site_label
_atom_site_type_symbol
_atom_site_fract_x
_atom_site_fract_y
_atom_site_fract_z
Ta1 Ta 0.000 0.000 0.000
In1 In 0.250 0.250 0.250
Ag1 Ag 0.750 0.750 0.750
# **Energy of formation from the pure elements**: 0.893 eV per atom

=====

Entry 4:
# GGA-PBE MgMn2Br, relaxed
data_MgMn2Br
_cell_length_a 8.766
_cell_length_b 8.766
_cell_length_c 8.766
_cell_angle_alpha 21.36
_cell_angle_beta 21.36
_cell_angle_gamma 21.36
_symmetry_space_group_name_H-M 'P 1'
_symmetry_Int_Tables_number 1
loop_
_symmetry_equiv_pos_as_xyz
'x,y,z'
loop_
_atom_site_label
_atom_site_type_symbol
_atom_site_fract_x
_atom_site_fract_y
_atom_site_fract_z
Mg1 Mg 0.000 0.000 0.000
Mn1 Mn 0.247 0.247 0.247
Mn2 Mn 0.753 0.753 0.753
Br1 Br 0.500 0.500 0.500
# **Formation energy without anion corrections**: 0.304 eV/atom

=====

Entry 5:
# GGA-PBE NdY3Mg6, relaxed
data_NdY3Mg6
_cell_length_a 9.299
_cell_length_b 5.319
_cell_length_c 11.353
_cell_angle_alpha 90.00
_cell_angle_beta 106.27
_cell_angle_gamma 90.00
_symmetry_space_group_name_H-M 'P 1'
_symmetry_Int_Tables_number 1
loop_
_symmetry_equiv_pos_as_xyz
'x,y,z'
loop_
_atom_site_label
_atom_site_type_symbol
_atom_site_fract_x
_atom_site_fract_y
_atom_site_fract_z
Nd1 Nd 0.054 0.250 0.395
Nd2 Nd 0.946 0.750 0.605
Y1 Y 0.247 0.250 0.999
Y2 Y 0.351 0.750 0.797
Y3 Y 0.458 0.250 0.605
Y4 Y 0.542 0.750 0.395
Y5 Y 0.649 0.250 0.203
Y6 Y 0.753 0.750 0.001
Mg1 Mg 0.050 0.750 0.904
Mg2 Mg 0.147 0.250 0.703
Mg3 Mg 0.148 0.750 0.196
Mg4 Mg 0.249 0.750 0.493
Mg5 Mg 0.345 0.250 0.294
Mg6 Mg 0.445 0.750 0.099
Mg7 Mg 0.555 0.250 0.901
Mg8 Mg 0.655 0.750 0.706
Mg9 Mg 0.751 0.250 0.507
Mg10 Mg 0.852 0.250 0.804
Mg11 Mg 0.853 0.750 0.297
Mg12 Mg 0.950 0.250 0.096
# **Energy of formation from the pure elements**: -0.089 eV per atom

=====

Entry 6:
# GGA-PBE Ba2UN3, relaxed
data_Ba2UN3
_cell_length_a 6.529
_cell_length_b 6.529
_cell_length_c 6.461
_cell_angle_alpha 90.32
_cell_angle_beta 90.32
_cell_angle_gamma 67.56
_symmetry_space_group_name_H-M 'P 1'
_symmetry_Int_Tables_number 1
loop_
_symmetry_equiv_pos_as_xyz
'x,y,z'
loop_
_atom_site_label
_atom_site_type_symbol
_atom_site_fract_x
_atom_site_fract_y
_atom_site_fract_z
Ba1 Ba 0.017 0.314 0.248
Ba2 Ba 0.314 0.017 0.748
Ba3 Ba 0.686 0.983 0.252
Ba4 Ba 0.983 0.686 0.752
U1 U 0.407 0.593 0.250
U2 U 0.593 0.407 0.750
N1 N 0.123 0.877 0.250
N2 N 0.371 0.372 0.999
N3 N 0.372 0.371 0.499
N4 N 0.628 0.629 0.501
N5 N 0.629 0.628 0.001
N6 N 0.877 0.123 0.750
# **Formation energy without anion corrections**: -0.921 eV/atom

=====

Entry 7:
# GGA-PBE ZnSiRh3, relaxed
data_ZnSiRh3
_cell_length_a 4.481
_cell_length_b 4.481
_cell_length_c 4.481
_cell_angle_alpha 90.00
_cell_angle_beta 90.00
_cell_angle_gamma 90.00
_symmetry_space_group_name_H-M 'P 1'
_symmetry_Int_Tables_number 1
loop_
_symmetry_equiv_pos_as_xyz
'x,y,z'
loop_
_atom_site_label
_atom_site_type_symbol
_atom_site_fract_x
_atom_site_fract_y
_atom_site_fract_z
Zn1 Zn 0.000 0.000 0.000
Si1 Si 0.500 0.500 0.500
Rh1 Rh 0.000 0.000 0.500
Rh2 Rh 0.000 0.500 0.000
Rh3 Rh 0.500 0.000 0.000
# **Formation energy without anion corrections**: 1.013 eV/atom

=====

Entry 8:
# GGA-PBE K2CaBr, relaxed
data_K2CaBr
_cell_length_a 6.528
_cell_length_b 6.528
_cell_length_c 6.528
_cell_angle_alpha 60.00
_cell_angle_beta 60.00
_cell_angle_gamma 60.00
_symmetry_space_group_name_H-M 'P 1'
_symmetry_Int_Tables_number 1
loop_
_symmetry_equiv_pos_as_xyz
'x,y,z'
loop_
_atom_site_label
_atom_site_type_symbol
_atom_site_fract_x
_atom_site_fract_y
_atom_site_fract_z
K1 K 0.000 0.000 0.000
K2 K 0.250 0.250 0.250
Ca1 Ca 0.750 0.750 0.750
Br1 Br 0.500 0.500 0.500
# **Formation energy without anion corrections**: -0.282 eV/atom

=====

| no. | total DFT energy (no corrections) (eV per atom) |
| --- | --- |
| 1 | -2.941 |
| 2 | -3.410 |
| 3 | -4.921 |
| 4 | -5.098 |
| 5 | -3.462 |
| 6 | -7.606 |
| 7 | -4.737 |
| 8 | -1.750 |